The following is a PBE calculation of NiAgP2 after structural relaxation, from Alexandria.

Lattice parameters (Å, degrees): 4.528 4.528 4.528 126.38 126.38 79.27
Fractional positions:
Ag 0.250 0.750 0.500
P 0.000 0.000 0.000
P 0.500 0.500 0.000
Ni 0.750 0.250 0.500

Values from the calculation:
As for the energy relative to the elements: 8.0 kcal/mol of atoms. As for the space-group type: I4/mmm, No. 139. The value obtained for the magnetization is 0.00 μB per formula unit.